(P)
# TaNiCl3 PBE optimized geometry
data_TaNiCl3
_cell_length_a 4.839
_cell_length_b 4.839
_cell_length_c 4.839
_cell_angle_alpha 90.00
_cell_angle_beta 90.00
_cell_angle_gamma 90.00
_symmetry_space_group_name_H-M 'P m -3 m'
_symmetry_Int_Tables_number 221
_symmetry_space_group_name_Hall '-P 4 2 3'
loop_
_atom_site_label
_atom_site_type_symbol
_atom_site_fract_x
_atom_site_fract_y
_atom_site_fract_z
Ta1 Ta 0.000 0.000 0.000
Ni1 Ni 0.500 0.500 0.500
Cl1 Cl 0.000 0.000 0.500
# * Fermi-level density of states: 20.55 states/eV per cell

(Q)
# TaNiCl3 PBE optimized geometry
data_TaNiCl3
_cell_length_a 4.597
_cell_length_b 4.597
_cell_length_c 4.597
_cell_angle_alpha 90.00
_cell_angle_beta 90.00
_cell_angle_gamma 90.00
_symmetry_space_group_name_H-M 'P m -3 m'
_symmetry_Int_Tables_number 221
_symmetry_space_group_name_Hall '-P 4 2 3'
loop_
_atom_site_label
_atom_site_type_symbol
_atom_site_fract_x
_atom_site_fract_y
_atom_site_fract_z
Ta1 Ta 0.000 0.000 0.000
Ni1 Ni 0.500 0.500 0.500
Cl1 Cl 0.000 0.500 0.500
# * Fermi-level density of states: 5.38 states/eV per cell

It is (Q) that is the least stable of them.

(P)
# TcNiCl PBE optimized geometry
data_TcNiCl
_cell_length_a 2.8957
_cell_length_b 2.8957
_cell_length_c 5.8394
_cell_angle_alpha 90.00
_cell_angle_beta 90.00
_cell_angle_gamma 120.00
_symmetry_space_group_name_H-M 'P 3 m 1'
_symmetry_Int_Tables_number 156
loop_
_symmetry_equiv_pos_as_xyz
'x,y,z'
'-y,x-y,z'
'-x+y,-x,z'
'-y,-x,z'
'-x+y,y,z'
'x,x-y,z'
loop_
_atom_site_label
_atom_site_type_symbol
_atom_site_fract_x
_atom_site_fract_y
_atom_site_fract_z
Tc1 Tc 0.0000 0.0000 0.0000
Ni1 Ni 0.3333 0.6667 0.6799
Cl1 Cl 0.6667 0.3333 0.3389
# * Fermi-level density of states: 2.85 states/eV per cell

(Q)
# TcNiCl PBE optimized geometry
data_TcNiCl
_cell_length_a 2.850
_cell_length_b 5.055
_cell_length_c 12.260
_cell_angle_alpha 90.00
_cell_angle_beta 90.00
_cell_angle_gamma 90.00
_symmetry_space_group_name_H-M 'F m m 2'
_symmetry_Int_Tables_number 42
_symmetry_space_group_name_Hall 'F 2 -2'
loop_
_atom_site_label
_atom_site_type_symbol
_atom_site_fract_x
_atom_site_fract_y
_atom_site_fract_z
Tc1 Tc 0.000 0.000 0.000
Ni1 Ni 0.000 0.000 0.662
Cl1 Cl 0.000 0.000 0.328
# * Fermi-level density of states: 13.25 states/eV per cell

(R)
# TcNiCl PBE optimized geometry
data_TcNiCl
_cell_length_a 5.546
_cell_length_b 5.546
_cell_length_c 5.546
_cell_angle_alpha 90.00
_cell_angle_beta 90.00
_cell_angle_gamma 90.00
_symmetry_space_group_name_H-M 'F -4 3 m'
_symmetry_Int_Tables_number 216
_symmetry_space_group_name_Hall 'F -4 2 3'
loop_
_atom_site_label
_atom_site_type_symbol
_atom_site_fract_x
_atom_site_fract_y
_atom_site_fract_z
Tc1 Tc 0.000 0.000 0.000
Ni1 Ni 0.000 0.000 0.500
Cl1 Cl 0.250 0.250 0.250
# * Fermi-level density of states: 8.99 states/eV per cell

It is (R) that is the least stable of them.

(P)
# TcNi3Cl PBE optimized geometry
data_TcNi3Cl
_cell_length_a 4.535
_cell_length_b 4.535
_cell_length_c 4.535
_cell_angle_alpha 90.00
_cell_angle_beta 90.00
_cell_angle_gamma 90.00
_symmetry_space_group_name_H-M 'P m -3 m'
_symmetry_Int_Tables_number 221
_symmetry_space_group_name_Hall '-P 4 2 3'
loop_
_atom_site_label
_atom_site_type_symbol
_atom_site_fract_x
_atom_site_fract_y
_atom_site_fract_z
Tc1 Tc 0.000 0.000 0.000
Ni1 Ni 0.000 0.000 0.500
Cl1 Cl 0.500 0.500 0.500
# * Fermi-level density of states: 6.97 states/eV per cell

(Q)
# TcNi3Cl PBE optimized geometry
data_TcNi3Cl
_cell_length_a 4.146
_cell_length_b 4.146
_cell_length_c 4.146
_cell_angle_alpha 90.00
_cell_angle_beta 90.00
_cell_angle_gamma 90.00
_symmetry_space_group_name_H-M 'P m -3 m'
_symmetry_Int_Tables_number 221
_symmetry_space_group_name_Hall '-P 4 2 3'
loop_
_atom_site_label
_atom_site_type_symbol
_atom_site_fract_x
_atom_site_fract_y
_atom_site_fract_z
Tc1 Tc 0.000 0.000 0.000
Ni1 Ni 0.000 0.500 0.500
Cl1 Cl 0.500 0.500 0.500
# * Fermi-level density of states: 2.52 states/eV per cell

It is (P) that is the least stable of them.